(1)
This record from the Alexandria database describes crystalline Cu3Se2Cl2O6 at its relaxed geometry. The functional is PBE.

Lattice parameters (Å, degrees): 6.169 8.096 8.720 90.86 94.49 91.59
Atoms (fractional coordinates):
1 Cl 0.038 0.731 0.437
2 Se 0.618 0.302 0.775
3 O 0.687 0.123 0.044
4 Cu 0.305 0.596 0.568
5 O 0.212 0.555 0.124
6 Cl 0.962 0.269 0.563
7 O 0.179 0.613 0.768
8 O 0.618 0.691 0.120
9 Cu 0.095 0.403 0.871
10 Cu 0.606 0.817 0.925
11 Cl 0.408 0.123 0.322
12 O 0.821 0.387 0.232
13 O 0.915 0.774 0.959
14 Cl 0.592 0.877 0.678
15 O 0.788 0.445 0.876
16 O 0.085 0.226 0.041
17 Se 0.897 0.185 0.179
18 O 0.474 0.574 0.384
19 Cu 0.695 0.404 0.432
20 O 0.526 0.426 0.616
21 Se 0.382 0.698 0.225
22 O 0.313 0.877 0.956
23 Se 0.103 0.815 0.821
24 Cu 0.905 0.597 0.129
25 O 0.382 0.309 0.880
26 Cu 0.394 0.183 0.075

Values from the calculation:
* E_form (uncorrected): -787 kJ/mol of formula units
* E: -4.681 eV/atom

(2)
This record from the Alexandria database describes crystalline Cu7Se2Cl6O8 at its relaxed geometry. The functional is PBE.

Lattice parameters (Å, degrees): 14.732 10.606 11.244 66.06 90.00 90.00
Atoms (fractional coordinates):
1 Cu 0.121 0.019 0.257
2 O 0.822 0.146 0.618
3 Se 0.378 0.809 0.003
4 O 0.262 0.535 0.174
5 Cu 0.500 0.500 0.500
6 Cu 0.621 0.481 0.743
7 Cu 0.301 0.875 0.307
8 Cu 0.561 0.319 0.350
9 Cu 0.699 0.125 0.693
10 O 0.931 0.805 0.852
11 Cu 0.439 0.681 0.650
12 Cl 0.172 0.021 0.792
13 Cl 0.575 0.993 0.754
14 Se 0.622 0.191 0.997
15 O 0.000 0.012 0.668
16 Se 0.122 0.309 0.003
17 Cl 0.075 0.507 0.246
18 Cl 0.627 0.114 0.381
19 Cu 0.211 0.026 0.002
20 Cu 0.066 0.852 0.791
21 O 0.678 0.646 0.618
22 Cu 0.061 0.181 0.650
23 O 0.537 0.811 0.536
24 O 0.273 0.836 0.071
25 Cl 0.157 0.165 0.438
26 Cu 0.566 0.648 0.209
27 Cu 0.500 0.000 0.500
28 Cl 0.672 0.479 0.208
29 O 0.227 0.336 0.071
30 Cu 0.289 0.526 0.002
31 Cu 0.879 0.981 0.743
32 O 0.916 0.154 0.409
33 Cl 0.873 0.348 0.090
34 O 0.963 0.311 0.536
35 Cl 0.373 0.152 0.910
36 O 0.847 0.796 0.070
37 O 0.500 0.512 0.668
38 O 0.153 0.204 0.930
39 O 0.238 0.035 0.174
40 O 0.762 0.965 0.826
41 Cl 0.657 0.335 0.562
42 Cl 0.574 0.650 0.886
43 Cu 0.000 0.000 0.500
44 Cu 0.000 0.500 0.500
45 Se 0.132 0.736 0.530
46 Cl 0.127 0.386 0.619
47 O 0.500 0.488 0.332
48 Cu 0.711 0.474 0.998
49 Cu 0.323 0.187 0.135
50 O 0.178 0.854 0.382
51 O 0.584 0.654 0.409
52 Cu 0.934 0.148 0.209
53 Cl 0.873 0.614 0.381
54 Cl 0.925 0.493 0.754
55 O 0.347 0.704 0.930
56 Cl 0.828 0.979 0.208
57 O 0.431 0.695 0.148
58 Se 0.878 0.691 0.997
59 Cl 0.373 0.886 0.619
60 Cu 0.434 0.352 0.791
61 Cl 0.127 0.652 0.910
62 Cl 0.843 0.835 0.562
63 Cl 0.425 0.007 0.246
64 O 0.084 0.846 0.591
65 O 0.322 0.354 0.382
66 Cu 0.379 0.519 0.257
67 Cl 0.074 0.850 0.114
68 Cu 0.177 0.687 0.135
69 O 0.037 0.689 0.464
70 Se 0.632 0.764 0.470
71 Cu 0.677 0.813 0.865
72 O 0.569 0.305 0.852
73 O 0.416 0.346 0.591
74 O 0.727 0.164 0.929
75 Se 0.868 0.264 0.470
76 O 0.773 0.664 0.929
77 Cu 0.789 0.974 0.998
78 O 0.000 0.988 0.332
79 Cu 0.939 0.819 0.350
80 O 0.463 0.189 0.464
81 O 0.069 0.195 0.148
82 Se 0.368 0.236 0.530
83 Cl 0.926 0.150 0.886
84 Cl 0.343 0.665 0.438
85 Cu 0.823 0.313 0.865
86 Cl 0.426 0.350 0.114
87 O 0.738 0.465 0.826
88 Cu 0.199 0.375 0.307
89 Cl 0.328 0.521 0.792
90 Cu 0.801 0.625 0.693
91 O 0.653 0.296 0.070
92 Cl 0.627 0.848 0.090

Values from the calculation:
* E_form (uncorrected): -1308 kJ/mol of formula units
* E: -4.345 eV/atom

(3)
This record from the Alexandria database describes crystalline Sr2CuSe2Cl2O6 at its relaxed geometry. The functional is PBE.

Lattice parameters (Å, degrees): 6.664 5.282 13.611 68.17 90.00 90.00
Atoms (fractional coordinates):
1 O 0.103 0.881 0.176
2 O 0.603 0.119 0.324
3 Sr 0.232 0.207 0.269
4 O 0.948 0.884 0.400
5 O 0.397 0.881 0.676
6 O 0.113 0.612 0.614
7 O 0.613 0.388 0.886
8 Cl 0.862 0.429 0.119
9 Cu 0.000 0.500 0.500
10 Sr 0.732 0.793 0.231
11 Sr 0.768 0.793 0.731
12 Se 0.245 0.922 0.571
13 O 0.448 0.116 0.100
14 O 0.897 0.119 0.824
15 Se 0.755 0.078 0.429
16 Sr 0.268 0.207 0.769
17 Cl 0.362 0.571 0.381
18 O 0.387 0.612 0.114
19 O 0.887 0.388 0.386
20 Cu 0.500 0.500 0.000
21 O 0.052 0.116 0.600
22 Cl 0.638 0.429 0.619
23 Se 0.745 0.078 0.929
24 Se 0.255 0.922 0.071
25 Cl 0.138 0.571 0.881
26 O 0.552 0.884 0.900

Values from the calculation:
* E_form (uncorrected): -1964 kJ/mol of formula units
* E: -5.248 eV/atom

(4)
This record from the Alexandria database describes crystalline YCu3Se2ClO8 at its relaxed geometry. The functional is PBE.

Lattice parameters (Å, degrees): 6.377 7.060 9.579 90.00 90.00 90.00
Atoms (fractional coordinates):
1 O 0.712 0.740 0.839
2 Cl 0.500 0.155 0.000
3 O 0.000 0.425 0.130
4 Cu 0.250 0.000 0.250
5 O 0.000 0.002 0.862
6 Cl 0.000 0.845 0.500
7 Cu 0.750 0.000 0.750
8 O 0.788 0.260 0.661
9 O 0.500 0.998 0.638
10 Y 0.500 0.267 0.500
11 O 0.288 0.740 0.839
12 O 0.500 0.998 0.362
13 Se 0.500 0.591 0.810
14 Se 0.000 0.409 0.310
15 Cu 0.500 0.796 0.500
16 O 0.712 0.740 0.161
17 O 0.288 0.740 0.161
18 Cu 0.750 0.000 0.250
19 O 0.000 0.425 0.870
20 O 0.500 0.575 0.630
21 Se 0.000 0.409 0.690
22 O 0.000 0.002 0.138
23 O 0.788 0.260 0.339
24 O 0.212 0.260 0.661
25 Se 0.500 0.591 0.190
26 Y 0.000 0.733 0.000
27 O 0.212 0.260 0.339
28 Cu 0.000 0.204 0.000
29 Cu 0.250 0.000 0.750
30 O 0.500 0.575 0.370

Values from the calculation:
* E_form (uncorrected): -1714 kJ/mol of formula units
* E: -5.666 eV/atom

(5)
This record from the Alexandria database describes crystalline SrCu2Te2Cl2O6 at its relaxed geometry. The functional is PBE.

Lattice parameters (Å, degrees): 7.393 7.305 8.382 83.27 90.00 90.00
Atoms (fractional coordinates):
1 Cl 0.702 0.401 0.268
2 Sr 0.952 0.375 0.558
3 Cu 0.462 0.139 0.587
4 O 0.130 0.372 0.124
5 Cu 0.444 0.818 0.914
6 Cl 0.202 0.599 0.732
7 Cu 0.962 0.861 0.413
8 Cu 0.944 0.182 0.086
9 O 0.579 0.358 0.659
10 Cl 0.230 0.046 0.883
11 O 0.847 0.308 0.885
12 O 0.630 0.628 0.876
13 Te 0.596 0.368 0.886
14 Te 0.821 0.851 0.733
15 O 0.347 0.692 0.115
16 O 0.293 0.297 0.443
17 Te 0.321 0.149 0.267
18 Cl 0.730 0.954 0.117
19 O 0.903 0.038 0.566
20 Sr 0.452 0.625 0.442
21 Te 0.096 0.632 0.114
22 O 0.083 0.040 0.257
23 O 0.583 0.960 0.743
24 O 0.079 0.642 0.341
25 O 0.403 0.962 0.434
26 O 0.793 0.703 0.557

Values from the calculation:
* E_form (uncorrected): -1537 kJ/mol of formula units
* E: -5.041 eV/atom

(6)
This record from the Alexandria database describes crystalline Cu2Te2Cl2O5 at its relaxed geometry. The functional is PBE.

Lattice parameters (Å, degrees): 7.797 7.797 6.410 90.00 90.00 90.00
Atoms (fractional coordinates):
1 Cl 0.768 0.098 0.807
2 Cl 0.902 0.768 0.193
3 O 0.235 0.535 0.442
4 O 0.580 0.331 0.141
5 O 0.765 0.465 0.442
6 Cl 0.232 0.902 0.807
7 Cu 0.270 0.459 0.153
8 O 0.465 0.235 0.558
9 Cu 0.730 0.541 0.153
10 Te 0.177 0.356 0.635
11 Te 0.644 0.177 0.365
12 O 0.000 0.500 0.768
13 O 0.420 0.669 0.141
14 Cl 0.098 0.232 0.193
15 Cu 0.459 0.730 0.847
16 Te 0.823 0.644 0.635
17 O 0.535 0.765 0.558
18 O 0.500 0.000 0.232
19 O 0.669 0.580 0.859
20 O 0.331 0.420 0.859
21 Te 0.356 0.823 0.365
22 Cu 0.541 0.270 0.847

Values from the calculation:
* E_form (uncorrected): -840 kJ/mol of formula units
* E: -4.697 eV/atom

(7)
This record from the Alexandria database describes crystalline CuTeClO2 at its relaxed geometry. The functional is PBE.

Lattice parameters (Å, degrees): 4.246 7.231 6.738 63.90 90.00 90.00
Atoms (fractional coordinates):
1 O 0.750 0.942 0.922
2 Cl 0.250 0.575 0.737
3 Cu 0.750 0.135 0.578
4 Te 0.250 0.834 0.950
5 O 0.250 0.037 0.654
6 O 0.250 0.058 0.078
7 Te 0.750 0.166 0.050
8 O 0.750 0.963 0.346
9 Cu 0.250 0.865 0.422
10 Cl 0.750 0.425 0.263

Values from the calculation:
* E_form (uncorrected): -315 kJ/mol of formula units
* E: -4.453 eV/atom

(8)
This record from the Alexandria database describes crystalline Yb2Cu3Te4Cl4O12 at its relaxed geometry. The functional is PBE.

Lattice parameters (Å, degrees): 5.585 8.210 9.805 100.15 88.36 104.47
Atoms (fractional coordinates):
1 Cl 0.753 0.446 0.582
2 O 0.330 0.699 0.099
3 O 0.970 0.673 0.890
4 Cu 0.400 0.400 0.700
5 Te 0.799 0.245 0.246
6 Cu 0.000 0.500 0.000
7 Te 0.201 0.755 0.754
8 O 0.057 0.978 0.132
9 O 0.030 0.327 0.110
10 O 0.670 0.301 0.901
11 Te 0.835 0.170 0.767
12 O 0.448 0.637 0.782
13 Yb 0.312 0.173 0.012
14 Yb 0.688 0.827 0.988
15 O 0.943 0.022 0.868
16 Cu 0.600 0.600 0.300
17 Cl 0.274 0.135 0.581
18 Cl 0.247 0.554 0.418
19 O 0.137 0.350 0.831
20 O 0.419 0.947 0.862
21 Cl 0.726 0.865 0.419
22 O 0.552 0.363 0.218
23 O 0.581 0.053 0.138
24 O 0.863 0.650 0.169
25 Te 0.165 0.830 0.233

Values from the calculation:
* E_form (uncorrected): -3084 kJ/mol of formula units
* E: -5.070 eV/atom